# 1
VASP calculation (PBE) on VCo3H after structural relaxation.

Electronic total energy   -68.9 eV per cell
Relative energy among the computed polymorphs   0.37 kcal/mol of atoms

Cell lengths 4.0787, 4.4278, 5.0953 Å; angles 89.36, 89.19, 89.97 degrees
Last column: nearest neighbours and their distance in Å.
Atoms (fractional coordinates):
V: 0.0000 0.0000 0.0000  1 H 1.90
V: 0.4633 0.6710 0.4714  2 H 1.90-1.91
Co: 0.4797 0.1660 0.7382  2 H 1.81
Co: 0.4812 0.6549 0.9876  1 H 1.80
Co: 0.4843 0.1653 0.2338  1 H 1.86
Co: 0.9852 0.5003 0.2297  1 H 1.79
Co: 0.9894 0.4985 0.7420  2 H 1.79-1.80
Co: 0.9920 0.0036 0.4847  2 H 1.75-1.81
H: 0.7336 0.8311 0.7363  4 Co 1.80-1.81, 2 V 1.90
H: 0.7496 0.3299 0.4904  5 Co 1.75-1.86, 1 V 1.91

***

# 2
VASP calculation (PBE) on Y2ZrRh after structural relaxation.

Electronic total energy   -29.0 eV per cell
Relative energy among the computed polymorphs   7.80 kcal/mol of atoms
Energy relative to the elements   -0.05 eV/atom

Cell lengths 5.0897, 5.0897, 5.0897 Å; angles 60.00, 60.00, 60.00 degrees
Last column: nearest neighbours and their distance in Å.
Atoms (fractional coordinates):
Y: 0.2500 0.2500 0.2500  4 Zr 3.12, 4 Rh 3.12
Y: 0.7500 0.7500 0.7500  4 Rh 3.12, 4 Zr 3.12
Zr: 0.0000 0.0000 0.0000  8 Y 3.12
Rh: 0.5000 0.5000 0.5000  8 Y 3.12

***

# 3
VASP calculation (PBE) on Nd3Ge3Pd after structural relaxation.

Electronic total energy   -79.1 eV per cell
Energy relative to the elements   -0.88 eV/atom

Cell lengths 5.9258, 5.9258, 14.4146 Å; angles 108.54, 108.54, 44.00 degrees
Last column: nearest neighbours and their distance in Å.
Atoms (fractional coordinates):
Nd: 0.0340 0.0340 0.3805  6 Ge 3.10-3.25, 4 Pd 3.17-3.27
Nd: 0.1011 0.1011 0.9230  7 Ge 3.08-3.28
Nd: 0.2435 0.2435 0.2284  6 Ge 3.08-3.21, 2 Pd 3.30
Nd: 0.7565 0.7565 0.7716  6 Ge 3.08-3.21, 2 Pd 3.30
Nd: 0.8989 0.8989 0.0770  7 Ge 3.08-3.28
Nd: 0.9660 0.9660 0.6195  6 Ge 3.10-3.25, 4 Pd 3.17-3.27
Ge: 0.3719 0.3719 0.4544  3 Pd 2.59-2.84, 1 Ge 2.67
Ge: 0.3818 0.3818 0.9241  2 Ge 2.68-2.76
Ge: 0.4635 0.4635 0.7688  1 Ge 2.68, 1 Pd 2.70
Ge: 0.5365 0.5365 0.2312  1 Ge 2.68, 1 Pd 2.70
Ge: 0.6182 0.6182 0.0759  2 Ge 2.68-2.76
Ge: 0.6281 0.6281 0.5456  3 Pd 2.59-2.84, 1 Ge 2.67
Pd: 0.2538 0.2538 0.6018  4 Ge 2.59-2.84
Pd: 0.7462 0.7462 0.3982  4 Ge 2.59-2.84